Here is a relaxed AcSm4Dy crystal from Alexandria. Energies are from GGA-PBE.

Calculated values
DFT total energy	-0.1622	hartree per atom
energy of formation	0.1845	eV per atom
size of the total moment	0.0	μB per cell
E above lowest polymorph	0.126	eV/atom

a b c (Å): 10.636 10.636 6.002
angles (deg): 90.03 90.03 140.91
Element x y z (fractional)
Ac1 0.054 0.946 0.750
Ac2 0.946 0.054 0.250
Sm1 0.046 0.465 0.250
Sm2 0.142 0.371 0.750
Sm3 0.371 0.142 0.250
Sm4 0.465 0.046 0.750
Sm5 0.535 0.954 0.250
Sm6 0.629 0.858 0.750
Sm7 0.858 0.629 0.250
Sm8 0.954 0.535 0.750
Dy1 0.449 0.551 0.250
Dy2 0.551 0.449 0.750